Entry 1:
DFT (PBE) results for a geometry-optimized YNiSe2 structure.

```
data_YNiSe2
_space_group_name_H-M_alt 'F -4 3 m'
_space_group_IT_number 216
_space_group_name_Hall 'F -4 2 3'
_cell_length_a 6.801
_cell_length_b 6.801
_cell_length_c 6.801
_cell_angle_alpha 90.00
_cell_angle_beta 90.00
_cell_angle_gamma 90.00
loop_
_atom_site_label
_atom_site_fract_x
_atom_site_fract_y
_atom_site_fract_z
Y1 0.000 0.000 0.000
Ni1 0.250 0.250 0.250
Se1 0.000 0.000 0.500
Se2 0.250 0.250 0.750
```

## Properties
Density of states at the Fermi level, states/eV/atom: 1.32
Energy relative to the elements, uncorrected, meV per atom: -330
Calculated density, Mg/m³: 6.5

=====

Entry 2:
DFT (PBE) results for a geometry-optimized TcS2Br structure.

```
data_TcS2Br
_space_group_name_H-M_alt 'F m -3 m'
_space_group_IT_number 225
_space_group_name_Hall '-F 4 2 3'
_cell_length_a 6.414
_cell_length_b 6.414
_cell_length_c 6.414
_cell_angle_alpha 90.00
_cell_angle_beta 90.00
_cell_angle_gamma 90.00
loop_
_atom_site_label
_atom_site_fract_x
_atom_site_fract_y
_atom_site_fract_z
Tc1 0.000 0.000 0.000
S1 0.250 0.250 0.250
Br1 0.000 0.000 0.500
```

## Properties
Energy relative to the lowest polymorph listed for this composition, meV per atom: 1002
Density of states at the Fermi level, states/eV/atom: 0.55
Energy relative to the elements, uncorrected, meV per atom: 873
Calculated density, Mg/m³: 6.1

=====

Entry 3:
DFT (PBE) results for a geometry-optimized RbIn2I7 structure.

```
data_RbIn2I7
_space_group_name_H-M_alt 'C m m m'
_space_group_IT_number 65
_space_group_name_Hall '-C 2 2'
_cell_length_a 9.254
_cell_length_b 22.289
_cell_length_c 4.675
_cell_angle_alpha 90.00
_cell_angle_beta 90.00
_cell_angle_gamma 90.00
loop_
_atom_site_label
_atom_site_fract_x
_atom_site_fract_y
_atom_site_fract_z
Rb1 0.000 0.000 0.000
In1 0.000 0.365 0.500
I1 0.000 0.285 0.000
I2 0.000 0.500 0.500
I3 0.195 0.125 0.500
```

## Properties
Density of states at the Fermi level, states/eV/atom: 0.03
Energy relative to the elements, uncorrected, meV per atom: -591
Calculated density, Mg/m³: 4.1

=====

Entry 4:
DFT (PBE) results for a geometry-optimized YHg2I structure.

```
data_YHg2I
_space_group_name_H-M_alt 'I m m m'
_space_group_IT_number 71
_space_group_name_Hall '-I 2 2'
_cell_length_a 3.698
_cell_length_b 5.265
_cell_length_c 12.095
_cell_angle_alpha 90.00
_cell_angle_beta 90.00
_cell_angle_gamma 90.00
loop_
_atom_site_label
_atom_site_fract_x
_atom_site_fract_y
_atom_site_fract_z
Y1 0.000 0.000 0.000
Hg1 0.000 0.500 0.283
I1 0.000 0.000 0.500
```

## Properties
Energy relative to the lowest polymorph listed for this composition, meV per atom: 146
Density of states at the Fermi level, states/eV/atom: 0.73
Energy relative to the elements, uncorrected, meV per atom: -367
Calculated density, Mg/m³: 8.7

=====

Entry 5:
DFT (PBE) results for a geometry-optimized Be2AsRu2 structure.

```
data_Be2AsRu2
_space_group_name_H-M_alt 'P 4/m b m'
_space_group_IT_number 127
_space_group_name_Hall '-P 4 2ab'
_cell_length_a 6.195
_cell_length_b 6.195
_cell_length_c 3.046
_cell_angle_alpha 90.00
_cell_angle_beta 90.00
_cell_angle_gamma 90.00
loop_
_atom_site_label
_atom_site_fract_x
_atom_site_fract_y
_atom_site_fract_z
Be1 0.120 0.380 0.000
As1 0.000 0.000 0.000
Ru1 0.171 0.671 0.500
```

## Properties
Energy relative to the lowest polymorph listed for this composition, meV per atom: 12
Density of states at the Fermi level, states/eV/atom: 0.87
Formation energy, eV/atom: -0.12
Calculated density, Mg/m³: 8.4

=====

Entry 6:
DFT (PBE) results for a geometry-optimized Mg2NiHg structure.

```
data_Mg2NiHg
_space_group_name_H-M_alt 'R 3 m'
_space_group_IT_number 160
_space_group_name_Hall 'R 3 -2"'
_cell_length_a 3.7864
_cell_length_b 3.7864
_cell_length_c 19.7630
_cell_angle_alpha 90.00
_cell_angle_beta 90.00
_cell_angle_gamma 120.00
loop_
_atom_site_label
_atom_site_fract_x
_atom_site_fract_y
_atom_site_fract_z
Mg1 0.0000 0.0000 0.0000
Mg2 0.0000 0.0000 0.2012
Ni1 0.0000 0.0000 0.6051
Hg1 0.0000 0.0000 0.7631
```

## Properties
Energy relative to the lowest polymorph listed for this composition, meV per atom: 250
Density of states at the Fermi level, states/eV/atom: 0.26
Formation energy, eV/atom: 0.07
Calculated density, Mg/m³: 6.3

=====

Entry 7:
DFT (PBE) results for a geometry-optimized CaPr7Mg4 structure.

```
data_CaPr7Mg4
_space_group_name_H-M_alt 'C 1 2/m 1'
_space_group_IT_number 12
_space_group_name_Hall '-C 2y'
_cell_length_a 15.569
_cell_length_b 5.949
_cell_length_c 9.926
_cell_angle_alpha 90.00
_cell_angle_beta 120.84
_cell_angle_gamma 90.00
loop_
_atom_site_label
_atom_site_fract_x
_atom_site_fract_y
_atom_site_fract_z
Ca1 0.000 0.000 0.000
Pr1 0.000 0.500 0.000
Pr2 0.086 0.000 0.435
Pr3 0.197 0.000 0.878
Pr4 0.247 0.500 0.714
Mg1 0.036 0.500 0.692
Mg2 0.174 0.500 0.344
```

## Properties
Density of states at the Fermi level, states/eV/atom: 1.06
Formation energy, eV/atom: 0.13
Calculated density, Mg/m³: 4.7

=====

Entry 8:
DFT (PBE) results for a geometry-optimized Fe3PtCl structure.

```
data_Fe3PtCl
_space_group_name_H-M_alt 'P m -3 m'
_space_group_IT_number 221
_space_group_name_Hall '-P 4 2 3'
_cell_length_a 4.789
_cell_length_b 4.789
_cell_length_c 4.789
_cell_angle_alpha 90.00
_cell_angle_beta 90.00
_cell_angle_gamma 90.00
loop_
_atom_site_label
_atom_site_fract_x
_atom_site_fract_y
_atom_site_fract_z
Fe1 0.000 0.000 0.500
Pt1 0.000 0.000 0.000
Cl1 0.500 0.500 0.500
```

## Properties
Energy relative to the lowest polymorph listed for this composition, meV per atom: 330
Density of states at the Fermi level, states/eV/atom: 1.07
Energy relative to the elements, uncorrected, meV per atom: 958
Calculated density, Mg/m³: 6.0

=====

Entry 9:
DFT (PBE) results for a geometry-optimized La2AlSi structure.

```
data_La2AlSi
_space_group_name_H-M_alt 'C m m m'
_space_group_IT_number 65
_space_group_name_Hall '-C 2 2'
_cell_length_a 7.046
_cell_length_b 8.473
_cell_length_c 3.473
_cell_angle_alpha 90.00
_cell_angle_beta 90.00
_cell_angle_gamma 90.00
loop_
_atom_site_label
_atom_site_fract_x
_atom_site_fract_y
_atom_site_fract_z
La1 0.250 0.250 0.000
Al1 0.000 0.000 0.500
Si1 0.000 0.500 0.500
```

## Properties
Density of states at the Fermi level, states/eV/atom: 0.71
Energy relative to the elements, uncorrected, meV per atom: -401
Calculated density, Mg/m³: 5.3

=====

Entry 10:
DFT (PBE) results for a geometry-optimized SmCd3In3 structure.

```
data_SmCd3In3
_space_group_name_H-M_alt 'P m -3 n'
_space_group_IT_number 223
_space_group_name_Hall '-P 4n 2 3'
_cell_length_a 7.809
_cell_length_b 7.809
_cell_length_c 7.809
_cell_angle_alpha 90.00
_cell_angle_beta 90.00
_cell_angle_gamma 90.00
loop_
_atom_site_label
_atom_site_fract_x
_atom_site_fract_y
_atom_site_fract_z
Sm1 0.000 0.000 0.000
Cd1 0.000 0.250 0.500
In1 0.000 0.500 0.250
```

## Properties
Density of states at the Fermi level, states/eV/atom: 0.65
Formation energy, eV/atom: 0.41
Calculated density, Mg/m³: 5.8

=====

Entry 11:
DFT (PBE) results for a geometry-optimized Pa2TaZn structure.

```
data_Pa2TaZn
_space_group_name_H-M_alt 'P 4/m m m'
_space_group_IT_number 123
_space_group_name_Hall '-P 4 2'
_cell_length_a 4.277
_cell_length_b 4.277
_cell_length_c 4.605
_cell_angle_alpha 90.00
_cell_angle_beta 90.00
_cell_angle_gamma 90.00
loop_
_atom_site_label
_atom_site_fract_x
_atom_site_fract_y
_atom_site_fract_z
Pa1 0.000 0.500 0.000
Ta1 0.000 0.000 0.500
Zn1 0.500 0.500 0.500
```

## Properties
Energy relative to the lowest polymorph listed for this composition, meV per atom: 0
Density of states at the Fermi level, states/eV/atom: 1.62
Formation energy, eV/atom: 0.13
Calculated density, Mg/m³: 14.0

=====

Entry 12:
DFT (PBE) results for a geometry-optimized TaNiP structure.

```
data_TaNiP
_space_group_name_H-M_alt 'P n m a'
_space_group_IT_number 62
_space_group_name_Hall '-P 2ac 2n'
_cell_length_a 6.117
_cell_length_b 3.590
_cell_length_c 7.113
_cell_angle_alpha 90.00
_cell_angle_beta 90.00
_cell_angle_gamma 90.00
loop_
_atom_site_label
_atom_site_fract_x
_atom_site_fract_y
_atom_site_fract_z
Ta1 0.022 0.250 0.167
Ni1 0.150 0.250 0.569
P1 0.218 0.750 0.377
```

## Properties
Density of states at the Fermi level, states/eV/atom: 0.12
Formation energy, eV/atom: -0.75
Calculated density, Mg/m³: 11.5

=====

Entry 13:
DFT (PBE) results for a geometry-optimized YbH2 structure.

```
data_YbH2
_space_group_name_H-M_alt 'P 63/m m c'
_space_group_IT_number 194
_space_group_name_Hall '-P 6c 2c'
_cell_length_a 3.7707
_cell_length_b 3.7707
_cell_length_c 5.0236
_cell_angle_alpha 90.00
_cell_angle_beta 90.00
_cell_angle_gamma 120.00
loop_
_atom_site_label
_atom_site_fract_x
_atom_site_fract_y
_atom_site_fract_z
Yb1 0.3333 0.6667 0.2500
H1 0.0000 0.0000 0.0000
H2 0.3333 0.6667 0.7500
```

## Properties
Density of states at the Fermi level, states/eV/atom: 0.00
Final energy, eV/atom: -3.34
Calculated density, Mg/m³: 9.4

=====

Entry 14:
DFT (PBE) results for a geometry-optimized SiGeBr2 structure.

```
data_SiGeBr2
_space_group_name_H-M_alt 'I -4 2 d'
_space_group_IT_number 122
_space_group_name_Hall 'I -4 2bw'
_cell_length_a 7.847
_cell_length_b 7.847
_cell_length_c 6.564
_cell_angle_alpha 90.00
_cell_angle_beta 90.00
_cell_angle_gamma 90.00
loop_
_atom_site_label
_atom_site_fract_x
_atom_site_fract_y
_atom_site_fract_z
Si1 0.000 0.000 0.000
Ge1 0.000 0.000 0.500
Br1 0.240 0.250 0.125
```

## Properties
Energy relative to the lowest polymorph listed for this composition, meV per atom: 63
Density of states at the Fermi level, states/eV/atom: 0.38
Energy relative to the elements, uncorrected, meV per atom: 337
Calculated density, Mg/m³: 4.3

=====

Entry 15:
DFT (PBE) results for a geometry-optimized AgHg3Pd structure.

```
data_AgHg3Pd
_space_group_name_H-M_alt 'C 1 2/c 1'
_space_group_IT_number 15
_space_group_name_Hall '-C 2yc'
_cell_length_a 15.267
_cell_length_b 13.617
_cell_length_c 4.412
_cell_angle_alpha 90.00
_cell_angle_beta 106.77
_cell_angle_gamma 90.00
loop_
_atom_site_label
_atom_site_fract_x
_atom_site_fract_y
_atom_site_fract_z
Ag1 0.238 0.074 0.485
Hg1 0.102 0.087 0.847
Hg2 0.128 0.415 0.879
Hg3 0.129 0.250 0.378
Pd1 0.000 0.264 0.750
Pd2 0.000 0.416 0.250
```

## Properties
Energy relative to the lowest polymorph listed for this composition, meV per atom: 0
Density of states at the Fermi level, states/eV/atom: 0.39
Formation energy, eV/atom: 0.01
Calculated density, Mg/m³: 12.3

=====

Entry 16:
DFT (PBE) results for a geometry-optimized AsPd structure.

```
data_AsPd
_space_group_name_H-M_alt 'I 4/m'
_space_group_IT_number 87
_space_group_name_Hall '-I 4'
_cell_length_a 10.361
_cell_length_b 10.361
_cell_length_c 3.750
_cell_angle_alpha 90.00
_cell_angle_beta 90.00
_cell_angle_gamma 90.00
loop_
_atom_site_label
_atom_site_fract_x
_atom_site_fract_y
_atom_site_fract_z
As1 0.080 0.711 0.000
Pd1 0.152 0.281 0.000
```

## Properties
Density of states at the Fermi level, states/eV/atom: 0.45
Formation energy, eV/atom: -0.06
Calculated density, Mg/m³: 6.0

=====

Entry 17:
DFT (PBE) results for a geometry-optimized P2IrRu2 structure.

```
data_P2IrRu2
_space_group_name_H-M_alt 'P 4/m b m'
_space_group_IT_number 127
_space_group_name_Hall '-P 4 2ab'
_cell_length_a 6.826
_cell_length_b 6.826
_cell_length_c 2.836
_cell_angle_alpha 90.00
_cell_angle_beta 90.00
_cell_angle_gamma 90.00
loop_
_atom_site_label
_atom_site_fract_x
_atom_site_fract_y
_atom_site_fract_z
P1 0.155 0.345 0.000
Ir1 0.000 0.000 0.000
Ru1 0.145 0.645 0.500
```

## Properties
Density of states at the Fermi level, states/eV/atom: 0.62
Formation energy, eV/atom: -0.16
Calculated density, Mg/m³: 11.5

=====

Entry 18:
DFT (PBE) results for a geometry-optimized LiCdClF2 structure.

```
data_LiCdClF2
_space_group_name_H-M_alt 'P 1 21/m 1'
_space_group_IT_number 11
_space_group_name_Hall '-P 2yb'
_cell_length_a 6.632
_cell_length_b 3.408
_cell_length_c 6.809
_cell_angle_alpha 90.00
_cell_angle_beta 104.82
_cell_angle_gamma 90.00
loop_
_atom_site_label
_atom_site_fract_x
_atom_site_fract_y
_atom_site_fract_z
Li1 0.147 0.250 0.158
Cd1 0.233 0.750 0.679
Cl1 0.455 0.750 0.223
F1 0.086 0.250 0.867
F2 0.136 0.250 0.437
```

## Properties
Density of states at the Fermi level, states/eV/atom: 0.00
Energy relative to the elements, uncorrected, meV per atom: -2064
Calculated density, Mg/m³: 4.3